Entry 1:
DFT (PBE) results for a geometry-optimized Rb2Tl3Pd2 structure.

Cell: 4.5988 6.7745 8.5775 Å, 119.24 90.00 109.84°
Sites, in units of the cell vectors:
Rb: 0.8553 0.7105 0.2225
Rb: 0.1447 0.2895 0.7775
Tl: 0.5000 0.0000 0.0000
Tl: 0.6471 0.2943 0.4443
Tl: 0.3529 0.7057 0.5557
Pd: 0.8858 0.7717 0.7938
Pd: 0.1142 0.2283 0.2062

Properties
total energy = -2.93 eV/atom
symmetry = C2/m, No. 12
crystal system = monoclinic
spin magnetization = 0.0 μB per formula unit
formation enthalpy at 0 K = -0.1574 eV/atom


Entry 2:
DFT (PBE) results for a geometry-optimized Tm4CdGaRu2 structure.

Cell: 4.9066 4.9066 8.5391 Å, 73.30 73.30 60.00°
Sites, in units of the cell vectors:
Tm: 0.3771 0.3771 0.8687
Tm: 0.8735 0.8735 0.3794
Tm: 0.1265 0.1265 0.6206
Tm: 0.6229 0.6229 0.1313
Cd: 0.0000 0.0000 0.0000
Ga: 0.5000 0.5000 0.5000
Ru: 0.7497 0.7497 0.7508
Ru: 0.2503 0.2503 0.2492

Properties
total energy = -5.46 eV/atom
symmetry = R-3m, No. 166
crystal system = trigonal
spin magnetization = 0.0 μB per formula unit
formation enthalpy at 0 K = -0.4152 eV/atom


Entry 3:
DFT (PBE) results for a geometry-optimized CdFe2Si structure.

Cell: 4.0454 2.7864 5.1304 Å, 89.98 90.00 90.00°
Sites, in units of the cell vectors:
Cd: 0.5000 0.6251 0.7834
Fe: 0.0000 0.1248 0.0270
Fe: 0.5000 0.1255 0.2942
Si: 0.0000 0.6246 0.3954

Properties
total energy = -5.65 eV/atom
symmetry = Pmm2, No. 25
crystal system = orthorhombic
spin magnetization = 4.3 μB per formula unit
raw formation energy = 0.165 eV per atom
energy above the lowest structure with this stoichiometry = 67.6 kJ/mol of formula units


Entry 4:
DFT (PBE) results for a geometry-optimized ThMgScPb structure.

Cell: 5.3373 5.3373 5.3373 Å, 60.00 60.00 60.00°
Sites, in units of the cell vectors:
Pb: 0.2500 0.2500 0.2500
Sc: 0.0000 0.0000 0.0000
Mg: 0.7500 0.7500 0.7500
Th: 0.5000 0.5000 0.5000

Properties
total energy = -4.84 eV/atom
symmetry = F-43m, No. 216
crystal system = cubic
spin magnetization = 0.0 μB per formula unit
formation enthalpy at 0 K = -0.0781 eV/atom